First-principles (GGA-PBEsol) data for a relaxed structure of BaCa2Tl2, as listed in Alexandria via LeMat-Bulk.

energy above the lowest structure with this stoichiometry	0.46	kcal/mol of atoms
calculated formation energy	-31.52	kJ per mole of atoms
D(E_F)	1.01	states/eV per atom

abc: 7.7585 7.7585 7.7585
angles: 141.57 141.57 55.48
Sites, in units of the cell vectors:
1 Ba 0.0000 0.0000 0.0000
2 Ca 0.2500 0.7500 0.5000
3 Ca 0.7500 0.2500 0.5000
4 Tl 0.3952 0.3952 0.0000
5 Tl 0.6048 0.6048 0.0000